# 1
11
Lattice="-3.134 -3.536 9.075 -5.396 1.301 8.595 2.128 0.002 -10.008" Properties=species:S:1:pos:R:3 comment="LaNd2Fe2N6, optimized geometry, DFT PBE" spacegroup="No. 139" crystal_system=tetragonal pbc="T T T"
N -4.015 -2.687 6.809
La 0.000 0.000 0.000
N -2.583 -0.677 5.351
N -1.256 -1.964 1.093
Fe -3.369 -0.883 6.978
Fe -5.161 -1.353 10.692
Nd -1.531 -0.401 3.171
N -5.947 -1.559 12.319
N -2.387 0.454 0.853
N -5.146 -0.269 6.569
Nd -6.999 -1.835 14.500

=====

# 2
11
Lattice="-1.902 1.902 9.918 1.902 -1.902 9.918 1.902 1.902 -9.918" Properties=species:S:1:pos:R:3 comment="LaPr2Fe2N6, optimized geometry, DFT PBE" spacegroup="No. 139" crystal_system=tetragonal pbc="T T T"
N 0.000 0.000 13.809
Pr 0.000 0.000 16.280
N 0.000 0.000 6.027
Fe 0.000 0.000 11.989
Fe 0.000 0.000 7.846
Pr 0.000 0.000 3.555
La 0.000 0.000 0.000
N 0.000 1.902 1.739
N 1.902 0.000 8.179
N 0.000 1.902 8.179
N 1.902 0.000 1.739

=====

# 3
10
Lattice="-1.892 1.892 11.153 1.892 -1.892 11.153 1.892 1.892 -11.153" Properties=species:S:1:pos:R:3 comment="La3Fe2Si2N3, optimized geometry, DFT PBE" spacegroup="No. 139" crystal_system=tetragonal pbc="T T T"
N 0.000 0.000 11.153
Fe 0.000 1.892 5.576
Si 0.000 0.000 4.260
N 0.000 0.000 2.485
La 0.000 0.000 13.802
La 0.000 0.000 0.000
La 0.000 0.000 8.504
N 0.000 0.000 19.821
Si 0.000 0.000 18.045
Fe 1.892 0.000 5.576

=====

| no. | theoretical density (g/cm3) | electronic total energy (eV/atom) | magnetic moment (μB per cell) |
| --- | --- | --- | --- |
| 1 | 7.29 | -8.083 | 5.3 |
| 2 | 7.13 | -8.069 | 5.3 |
| 3 | 6.51 | -7.777 | 2.7 |